Entry 1:
SrDy2: relaxed, PBE-GGA.

It has space group I4/mmm (No. 139), with a = 3.720 Å, b = 3.720 Å, c = 16.068 Å, α = 90.00°, β = 90.00° and γ = 90.00°. Symmetry generates all atoms from Sr at (0.000, 0.000, 0.000) and Dy at (0.000, 0.000, 0.319).

Its density of states at the Fermi level is 4.485 states/eV/f.u. The calculation puts the polymorph energy (0 for the lowest one) at 0.00 eV per formula unit. The formation energy is 0.135 eV/atom.

***

Entry 2:
Sr5Dy: relaxed, PBE-GGA.

It has space group Cmmm (No. 65), with a = 6.568 Å, b = 19.755 Å, c = 4.426 Å, α = 90.00°, β = 90.00° and γ = 90.00°. Symmetry generates all atoms from Sr at (0.000, 0.000, 0.000), Sr at (0.000, 0.170, 0.500), Sr at (0.000, 0.347, 0.000) and Dy at (0.000, 0.500, 0.500).

Its density of states at the Fermi level is 5.609 states/eV/f.u. The formation energy is 0.125 eV/atom.

***

Entry 3:
SrDy4: relaxed, PBE-GGA.

It has space group Pm-3m (No. 221), with a = 5.674 Å, b = 5.674 Å, c = 5.674 Å, α = 90.00°, β = 90.00° and γ = 90.00°. Symmetry generates all atoms from Sr at (0.000, 0.000, 0.000), Dy at (0.000, 0.000, 0.500) and Dy at (0.500, 0.500, 0.500).

Its density of states at the Fermi level is 5.543 states/eV/f.u. The formation energy is 1.004 eV/atom.